1.
Computed, not measured: crystalline LaAl2Os at its relaxed geometry at the PBE-GGA level of DFT. Values from VASP.

Summary:
Energy   -24.54 eV for the cell shown
Calculated volume   19.82 Å³ per atom
Formation enthalpy at 0 K   -0.2239 eV/atom

The structure in Quantum ESPRESSO input format:
```
&SYSTEM
  ibrav = 0, nat = 4, ntyp = 3
/
ATOMIC_SPECIES
Os 190.23 Os.upf
Al 26.98 Al.upf
La 138.91 La.upf
CELL_PARAMETERS angstrom
3.2925 0.0000 0.0000
0.0000 3.2925 0.0000
0.0000 0.0000 7.3143
ATOMIC_POSITIONS angstrom
Os 1.6462 1.6462 5.9913
Al 0.0000 0.0000 7.0649
Al 1.6462 1.6462 1.3601
La 0.0000 0.0000 3.8696
```



2.
Computed, not measured: crystalline TlAg at its relaxed geometry at the PBE-GGA level of DFT. Values from VASP.

Summary:
Energy   -39.56 eV for the cell shown
Calculated volume   24.86 Å³ per atom
Formation enthalpy at 0 K   0.1364 eV/atom

The structure in Quantum ESPRESSO input format:
```
&SYSTEM
  ibrav = 0, nat = 16, ntyp = 2
/
ATOMIC_SPECIES
Tl 204.38 Tl.upf
Ag 107.87 Ag.upf
CELL_PARAMETERS angstrom
11.3346 0.0000 0.0000
0.0000 11.3346 0.0000
0.0000 0.0000 3.0960
ATOMIC_POSITIONS angstrom
Tl 1.9682 9.9884 0.0000
Tl 9.3665 1.3462 0.0000
Tl 1.3462 1.9682 0.0000
Tl 9.9884 9.3665 0.0000
Tl 7.6355 4.3211 1.5480
Tl 3.6991 7.0135 1.5480
Tl 7.0135 7.6355 1.5480
Tl 4.3211 3.6991 1.5480
Ag 4.1871 0.8851 0.0000
Ag 7.1475 10.4495 0.0000
Ag 10.4495 4.1871 0.0000
Ag 0.8851 7.1475 0.0000
Ag 9.8544 6.5524 1.5480
Ag 1.4802 4.7822 1.5480
Ag 4.7822 9.8544 1.5480
Ag 6.5524 1.4802 1.5480
```



3.
Computed, not measured: crystalline PmP2Os at its relaxed geometry at the PBE-GGA level of DFT. Values from VASP.

Summary:
Energy   -30.02 eV for the cell shown
Calculated volume   17.77 Å³ per atom
Formation enthalpy at 0 K   -0.8056 eV/atom

The structure in Quantum ESPRESSO input format:
```
&SYSTEM
  ibrav = 0, nat = 4, ntyp = 3
/
ATOMIC_SPECIES
P 30.97 P.upf
Os 190.23 Os.upf
Pm 145.00 Pm.upf
CELL_PARAMETERS angstrom
-4.0262 0.0279 0.2444
-1.9871 -3.3829 0.9370
-1.6991 0.0582 5.2890
ATOMIC_POSITIONS angstrom
P -5.8142 -2.5878 4.3735
P -1.8982 -0.7090 2.0969
Os -3.8562 -1.6484 3.2352
Pm 0.0000 0.0000 0.0000
```



4.
Computed, not measured: crystalline SmLu2Ru at its relaxed geometry at the PBE-GGA level of DFT. Values from VASP.

Summary:
Energy   -23.33 eV for the cell shown
Calculated volume   26.05 Å³ per atom
Formation enthalpy at 0 K   -0.0739 eV/atom
Energy relative to the lowest polymorph listed for this composition   238 meV/atom

The structure in Quantum ESPRESSO input format:
```
&SYSTEM
  ibrav = 0, nat = 4, ntyp = 3
/
ATOMIC_SPECIES
Ru 101.07 Ru.upf
Lu 174.97 Lu.upf
Sm 150.36 Sm.upf
CELL_PARAMETERS angstrom
3.4751 0.0000 0.0000
1.7375 3.0095 0.0000
1.7375 1.0032 9.9632
ATOMIC_POSITIONS angstrom
Ru 0.0000 0.0000 0.0000
Lu 1.7375 1.0032 1.8920
Lu 5.2126 3.0095 8.0712
Sm 3.4751 2.0063 4.9816
```



5.
Computed, not measured: crystalline Sc6Bi3H at its relaxed geometry at the PBE-GGA level of DFT. Values from VASP.

Summary:
Energy   -115.93 eV for the cell shown
Calculated volume   21.83 Å³ per atom

The structure in Quantum ESPRESSO input format:
```
&SYSTEM
  ibrav = 0, nat = 20, ntyp = 3
/
ATOMIC_SPECIES
Sc 44.96 Sc.upf
Bi 208.98 Bi.upf
H 1.01 H.upf
CELL_PARAMETERS angstrom
4.6449 0.0000 0.0000
0.0000 9.8088 0.0475
0.0000 -2.1425 9.5721
ATOMIC_POSITIONS angstrom
Sc 0.7135 6.0433 5.6764
Sc 3.0359 4.1847 7.1576
Sc 0.7160 2.0493 8.8380
Sc 3.0385 8.1578 3.9698
Sc 0.7062 -1.2408 8.8535
Sc 3.0571 0.9175 7.1334
Sc 0.7347 6.7488 2.4862
Sc 3.0286 8.9071 0.7661
Sc 0.7160 -0.4915 5.6498
Sc 3.0385 5.6170 0.7817
Sc 0.7135 3.4816 2.4620
Sc 3.0359 1.6230 3.9432
Bi 3.0251 7.5656 7.0669
Bi 0.7027 5.2005 8.9518
Bi 0.7222 2.6828 5.7266
Bi 3.0446 4.9835 3.8931
Bi 0.7027 0.1007 2.5527
Bi 3.0251 2.4658 0.6678
H 0.4720 0.3369 7.5961
H 2.7944 7.3294 2.0235
```



6.
Computed, not measured: crystalline MgAl11Ru at its relaxed geometry at the PBE-GGA level of DFT. Values from VASP.

Summary:
Energy   -53.33 eV for the cell shown
Calculated volume   16.90 Å³ per atom
Formation enthalpy at 0 K   -0.0997 eV/atom

The structure in Quantum ESPRESSO input format:
```
&SYSTEM
  ibrav = 0, nat = 13, ntyp = 3
/
ATOMIC_SPECIES
Mg 24.30 Mg.upf
Al 26.98 Al.upf
Ru 101.07 Ru.upf
CELL_PARAMETERS angstrom
-2.3535 -4.5134 -1.0187
2.3430 -2.5447 -5.9962
3.5175 -5.4217 2.6681
ATOMIC_POSITIONS angstrom
Mg 0.0000 0.0000 0.0000
Al 0.5564 -3.0073 -1.0318
Al 2.9505 -9.4725 -3.3150
Al 1.4047 -5.3801 -4.6485
Al 2.1023 -7.0997 0.3017
Al 2.9752 -6.7915 -2.4513
Al 0.5318 -5.6883 -1.8955
Al 0.8246 -8.9359 -1.4101
Al 2.6824 -3.5439 -2.9367
Al 1.1715 -1.2723 -2.9981
Al 0.5820 -4.9676 0.8247
Al 1.7587 -2.7108 1.3340
Ru -0.0053 -3.5291 -3.5074
```